No. 1
# CaAuN2O PBE relaxed
data_CaAuN2O
_symmetry_space_group_name_H-M 'P 4/m m m'
_symmetry_Int_Tables_number 123
_symmetry_space_group_name_Hall '-P 4 2'
_cell_length_a 4.0378
_cell_length_b 4.0378
_cell_length_c 4.3541
_cell_angle_alpha 90.00
_cell_angle_beta 90.00
_cell_angle_gamma 90.00
loop_
_atom_site_label
_atom_site_type_symbol
_atom_site_fract_x
_atom_site_fract_y
_atom_site_fract_z
Ca1 Ca 0.0000 0.0000 0.0000
Au1 Au 0.5000 0.5000 0.5000
N1 N 0.0000 0.5000 0.5000
O1 O 0.5000 0.5000 0.0000
# formation energy without anion corrections	0.5910	eV/atom
# crystal system	tetragonal
# density of states at the Fermi level	0.35	states/eV per atom


No. 2
# Pr5VGe4 PBE relaxed
data_Pr5VGe4
_symmetry_space_group_name_H-M 'C 1 2/m 1'
_symmetry_Int_Tables_number 12
_cell_length_a 18.9535
_cell_length_b 3.8939
_cell_length_c 8.0446
_cell_angle_alpha 90.00
_cell_angle_beta 113.45
_cell_angle_gamma 90.00
loop_
_symmetry_equiv_pos_as_xyz
'x,y,z'
'-x,-y,-z'
'-x,y,-z'
'x,-y,z'
'x+1/2,y+1/2,z'
'-x+1/2,-y+1/2,-z'
'-x+1/2,y+1/2,-z'
'x+1/2,-y+1/2,z'
loop_
_atom_site_label
_atom_site_type_symbol
_atom_site_fract_x
_atom_site_fract_y
_atom_site_fract_z
Pr1 Pr 0.0000 0.0000 0.0000
Pr2 Pr 0.1404 0.5000 0.4997
Pr3 Pr 0.1921 0.5000 0.1064
V1 V 0.0000 0.0000 0.5000
Ge1 Ge 0.0312 0.5000 0.7448
Ge2 Ge 0.1336 0.0000 0.7872
# uncorrected energy	-5.582	eV/atom
# crystal system	monoclinic
# density of states at the Fermi level	0.97	states/eV per atom


No. 3
# HfPaN3 PBE relaxed
data_HfPaN3
_symmetry_space_group_name_H-M 'P 1 21/c 1'
_symmetry_Int_Tables_number 14
_cell_length_a 6.2655
_cell_length_b 5.9702
_cell_length_c 7.4326
_cell_angle_alpha 90.00
_cell_angle_beta 95.38
_cell_angle_gamma 90.00
loop_
_symmetry_equiv_pos_as_xyz
'x,y,z'
'-x,-y,-z'
'-x,y+1/2,-z+1/2'
'x,-y+1/2,z+1/2'
loop_
_atom_site_label
_atom_site_type_symbol
_atom_site_fract_x
_atom_site_fract_y
_atom_site_fract_z
Hf1 Hf 0.0941 0.2329 0.4347
Pa1 Pa 0.3550 0.6991 0.3355
N1 N 0.0015 0.5895 0.3323
N2 N 0.2245 0.5821 0.0352
N3 N 0.4164 0.1609 0.8801
# formation energy without anion corrections	-1.5508	eV/atom
# crystal system	monoclinic


No. 4
# SbAsIr3 PBE relaxed
data_SbAsIr3
_symmetry_space_group_name_H-M 'P m -3 m'
_symmetry_Int_Tables_number 221
_symmetry_space_group_name_Hall '-P 4 2 3'
_cell_length_a 4.6341
_cell_length_b 4.6341
_cell_length_c 4.6341
_cell_angle_alpha 90.00
_cell_angle_beta 90.00
_cell_angle_gamma 90.00
loop_
_atom_site_label
_atom_site_type_symbol
_atom_site_fract_x
_atom_site_fract_y
_atom_site_fract_z
Sb1 Sb 0.0000 0.0000 0.0000
As1 As 0.5000 0.5000 0.5000
Ir1 Ir 0.0000 0.5000 0.5000
# formation energy without anion corrections	0.9197	eV/atom
# crystal system	cubic
# density of states at the Fermi level	0.84	states/eV per atom
# energy above the lowest structure with this stoichiometry	0	meV per atom


No. 5
# TbZn2Ge PBE relaxed
data_TbZn2Ge
_symmetry_space_group_name_H-M 'R -3 m'
_symmetry_Int_Tables_number 166
_symmetry_space_group_name_Hall '-R 3 2"'
_cell_length_a 3.1429
_cell_length_b 3.1429
_cell_length_c 30.6270
_cell_angle_alpha 90.00
_cell_angle_beta 90.00
_cell_angle_gamma 120.00
loop_
_atom_site_label
_atom_site_type_symbol
_atom_site_fract_x
_atom_site_fract_y
_atom_site_fract_z
Tb1 Tb 0.0000 0.0000 0.0000
Zn1 Zn 0.0000 0.0000 0.0966
Ge1 Ge 0.0000 0.0000 0.5000
# crystal system	trigonal
# density of states at the Fermi level	0.68	states/eV per atom
# energy above the lowest structure with this stoichiometry	754	meV per atom


No. 6
# Rb2Tl2S3 PBE relaxed
data_Rb2Tl2S3
_symmetry_space_group_name_H-M 'C 1 2/m 1'
_symmetry_Int_Tables_number 12
_cell_length_a 15.8110
_cell_length_b 4.5170
_cell_length_c 7.7859
_cell_angle_alpha 90.00
_cell_angle_beta 114.59
_cell_angle_gamma 90.00
loop_
_symmetry_equiv_pos_as_xyz
'x,y,z'
'-x,-y,-z'
'-x,y,-z'
'x,-y,z'
'x+1/2,y+1/2,z'
'-x+1/2,-y+1/2,-z'
'-x+1/2,y+1/2,-z'
'x+1/2,-y+1/2,z'
loop_
_atom_site_label
_atom_site_type_symbol
_atom_site_fract_x
_atom_site_fract_y
_atom_site_fract_z
Rb1 Rb 0.1082 0.0000 0.3474
Tl1 Tl 0.1638 0.5000 0.8080
S1 S 0.0000 0.5000 0.5000
S2 S 0.2223 0.5000 0.1926
# formation energy without anion corrections	-0.6454	eV/atom
# crystal system	monoclinic